First-principles (PBE) data for an optimized crystal structure of Ac2Y7Er3, as listed in Alexandria.

Results
- E_form: 1.26 eV per formula unit
- Space group: P2/m, No. 10
- Energy: -65.9 eV for the cell shown

Unit cell a=3.6034 b=6.4588 c=17.5659 alpha=90.16 beta=90.00 gamma=90.00
Fractional positions:
Er1 0.0000 0.0004 0.3412
Y1 0.0000 0.0000 0.0000
Y2 0.5000 0.7617 0.4985
Y3 0.5000 0.2383 0.5015
Er2 0.0000 0.9996 0.6588
Y4 0.0000 0.3226 0.1593
Y5 0.0000 0.6774 0.8407
Ac1 0.5000 0.4925 0.3252
Y6 0.5000 0.1701 0.8366
Y7 0.5000 0.8299 0.1634
Ac2 0.5000 0.5075 0.6748
Er3 0.5000 0.5000 0.0000